(1)
A plane-wave DFT calculation with GGA-PBE was carried out for crystalline LaMgAgTe3 at its relaxed geometry.

Computed properties:
raw formation energy = -0.96 eV/atom

Geometry as CIF:
```
data_LaMgAgTe3
_cell_length_a 8.5258
_cell_length_b 4.3539
_cell_length_c 9.7320
_cell_angle_alpha 90.00
_cell_angle_beta 103.02
_cell_angle_gamma 90.00
_symmetry_space_group_name_H-M 'P 1 21/m 1'
_symmetry_Int_Tables_number 11
_symmetry_space_group_name_Hall '-P 2yb'
loop_
_atom_site_label
_atom_site_type_symbol
_atom_site_fract_x
_atom_site_fract_y
_atom_site_fract_z
_atom_site_occupancy
La1 La 0.1906 0.2500 0.2493 1
Mg1 Mg 0.3348 0.7500 0.8411 1
Ag1 Ag 0.0823 0.2500 0.5827 1
Te1 Te 0.0945 0.2500 0.8745 1
Te2 Te 0.2734 0.7500 0.5172 1
Te3 Te 0.4243 0.7500 0.1485 1
```


(2)
A plane-wave DFT calculation with GGA-PBE was carried out for crystalline LaThMgAg at its relaxed geometry.

Computed properties:
formation energy from the elements = -0.0016 eV/atom

Geometry as CIF:
```
data_LaThMgAg
_cell_length_a 7.6731
_cell_length_b 7.6731
_cell_length_c 7.6731
_cell_angle_alpha 90.00
_cell_angle_beta 90.00
_cell_angle_gamma 90.00
_symmetry_space_group_name_H-M 'F -4 3 m'
_symmetry_Int_Tables_number 216
_symmetry_space_group_name_Hall 'F -4 2 3'
loop_
_atom_site_label
_atom_site_type_symbol
_atom_site_fract_x
_atom_site_fract_y
_atom_site_fract_z
_atom_site_occupancy
La1 La 0.0000 0.0000 0.0000 1
Th1 Th 0.0000 0.0000 0.5000 1
Mg1 Mg 0.2500 0.2500 0.7500 1
Ag1 Ag 0.2500 0.2500 0.2500 1
```


(3)
A plane-wave DFT calculation with GGA-PBE was carried out for crystalline LaMgTlAg at its relaxed geometry.

Computed properties:
formation energy from the elements = -0.3204 eV/atom

Geometry as CIF:
```
data_LaMgTlAg
_cell_length_a 7.4245
_cell_length_b 7.4245
_cell_length_c 7.4245
_cell_angle_alpha 90.00
_cell_angle_beta 90.00
_cell_angle_gamma 90.00
_symmetry_space_group_name_H-M 'F -4 3 m'
_symmetry_Int_Tables_number 216
_symmetry_space_group_name_Hall 'F -4 2 3'
loop_
_atom_site_label
_atom_site_type_symbol
_atom_site_fract_x
_atom_site_fract_y
_atom_site_fract_z
_atom_site_occupancy
La1 La 0.0000 0.0000 0.0000 1
Mg1 Mg 0.0000 0.0000 0.5000 1
Tl1 Tl 0.2500 0.2500 0.2500 1
Ag1 Ag 0.2500 0.2500 0.7500 1
```


(4)
A plane-wave DFT calculation with GGA-PBE was carried out for crystalline LaTm2MgAg4 at its relaxed geometry.

Computed properties:
formation energy from the elements = -0.2550 eV/atom

Geometry as CIF:
```
data_LaTm2MgAg4
_cell_length_a 5.0395
_cell_length_b 5.0395
_cell_length_c 25.6529
_cell_angle_alpha 90.00
_cell_angle_beta 90.00
_cell_angle_gamma 120.00
_symmetry_space_group_name_H-M 'R -3 m'
_symmetry_Int_Tables_number 166
_symmetry_space_group_name_Hall '-R 3 2"'
loop_
_atom_site_label
_atom_site_type_symbol
_atom_site_fract_x
_atom_site_fract_y
_atom_site_fract_z
_atom_site_occupancy
La1 La 0.0000 0.0000 0.0000 1
Tm1 Tm 0.0000 0.0000 0.2431 1
Mg1 Mg 0.0000 0.0000 0.5000 1
Ag1 Ag 0.0000 0.0000 0.1257 1
Ag2 Ag 0.0000 0.0000 0.3887 1
```


(5)
A plane-wave DFT calculation with GGA-PBE was carried out for crystalline LaY2MgAg4 at its relaxed geometry.

Computed properties:
formation energy from the elements = -0.2613 eV/atom

Geometry as CIF:
```
data_LaY2MgAg4
_cell_length_a 5.1069
_cell_length_b 5.1069
_cell_length_c 25.5571
_cell_angle_alpha 90.00
_cell_angle_beta 90.00
_cell_angle_gamma 120.00
_symmetry_space_group_name_H-M 'R -3 m'
_symmetry_Int_Tables_number 166
_symmetry_space_group_name_Hall '-R 3 2"'
loop_
_atom_site_label
_atom_site_type_symbol
_atom_site_fract_x
_atom_site_fract_y
_atom_site_fract_z
_atom_site_occupancy
La1 La 0.0000 0.0000 0.0000 1
Y1 Y 0.0000 0.0000 0.2431 1
Mg1 Mg 0.0000 0.0000 0.5000 1
Ag1 Ag 0.0000 0.0000 0.1247 1
Ag2 Ag 0.0000 0.0000 0.3868 1
```


(6)
A plane-wave DFT calculation with GGA-PBE was carried out for crystalline LaMgZn2Ag4 at its relaxed geometry.

Computed properties:
formation energy from the elements = -0.1683 eV/atom

Geometry as CIF:
```
data_LaMgZn2Ag4
_cell_length_a 4.5712
_cell_length_b 4.5712
_cell_length_c 27.0092
_cell_angle_alpha 90.00
_cell_angle_beta 90.00
_cell_angle_gamma 120.00
_symmetry_space_group_name_H-M 'R -3 m'
_symmetry_Int_Tables_number 166
_symmetry_space_group_name_Hall '-R 3 2"'
loop_
_atom_site_label
_atom_site_type_symbol
_atom_site_fract_x
_atom_site_fract_y
_atom_site_fract_z
_atom_site_occupancy
La1 La 0.0000 0.0000 0.0000 1
Mg1 Mg 0.0000 0.0000 0.5000 1
Zn1 Zn 0.0000 0.0000 0.2424 1
Ag1 Ag 0.0000 0.0000 0.1280 1
Ag2 Ag 0.0000 0.0000 0.4003 1
```


Number 1: magnetization 0.000 μB/atom, VASP energy -49.15 eV for the cell shown, mass density 6.17 Mg/m³. Number 2: magnetization 0.002 μB/atom, VASP energy -67.20 eV for the cell shown, mass density 7.40 Mg/m³. Number 3: magnetization 0.000 μB/atom, VASP energy -52.08 eV for the cell shown, mass density 7.72 Mg/m³. Number 4: magnetization 0.000 μB/atom, VASP energy -86.73 eV for the cell shown, mass density 8.23 Mg/m³. Number 5: magnetization 0.000 μB/atom, VASP energy -98.84 eV for the cell shown, mass density 6.67 Mg/m³. Number 6: magnetization 0.000 μB/atom, VASP energy -65.47 eV for the cell shown, mass density 7.39 Mg/m³.